Entry 1
Here is a relaxed structure of GdSc2Te from Alexandria. Energies are from GGA-PBE.

extended XYZ file:
```
4
Lattice="3.6877 0.0000 0.0000 1.8439 3.1937 0.0000 1.8439 1.0646 9.9523" Properties=species:S:1:pos:R:3 pbc="T T T"
Te 3.6877 2.1291 4.9761
Sc 5.5316 3.1937 3.0302
Gd 0.0000 0.0000 0.0000
Sc 1.8439 1.0646 6.9220
```

For the magnetization, the calculation gives 8.95 μB per cell.

=====

Entry 2
Here is a relaxed structure of GdSc2Te from Alexandria. Energies are from GGA-PBE.

extended XYZ file:
```
4
Lattice="-3.3548 1.6177 0.3763 -1.2654 -3.0388 1.7826 2.0706 2.8299 6.2943" Properties=species:S:1:pos:R:3 pbc="T T T"
Sc 0.5795 0.7919 1.7614
Gd -2.3101 -0.7106 1.0794
Sc 1.4912 2.0380 4.5329
Te -1.2748 0.7044 4.2266
```

For the magnetization, the calculation gives 7.33 μB per cell.

=====

Name the least stable of them. entry 1.

=====

Entry 1
Here is a relaxed structure of GdScTe2 from Alexandria. Energies are from GGA-PBE.

extended XYZ file:
```
4
Lattice="3.7409 0.0000 0.0000 0.0000 5.2664 0.0000 0.0000 0.0000 5.2664" Properties=species:S:1:pos:R:3 pbc="T T T"
Sc 1.8705 0.0000 0.0000
Te 0.0000 0.0000 2.6332
Gd 1.8705 2.6332 2.6332
Te 0.0000 2.6332 0.0000
```

For the magnetization, the calculation gives 8.44 μB per cell.

=====

Entry 2
Here is a relaxed structure of GdScTe2 from Alexandria. Energies are from GGA-PBE.

extended XYZ file:
```
4
Lattice="-2.3635 1.7867 -3.0988 -4.1451 -1.0218 -0.3934 -3.8712 5.4951 3.1552" Properties=species:S:1:pos:R:3 pbc="T T T"
Sc 0.0000 0.0000 0.0000
Gd -5.1899 3.1300 -0.1685
Te -7.8154 4.7889 -0.1753
Te -2.5645 1.4711 -0.1617
```

For the magnetization, the calculation gives 6.80 μB per cell.

=====

Name the least stable of them. entry 1.